1.
Cs2Np2HgTe6 | GGA-PBE | relaxed

abc: 8.072 8.072 9.465
angles: 96.73 96.73 124.61
Fractional coordinates of all 11 atoms:
Cs 0.151 0.849 0.000
Cs 0.849 0.151 0.000
Np 0.331 0.669 0.500
Np 0.669 0.331 0.500
Hg 0.000 0.000 0.500
Te 0.057 0.432 0.696
Te 0.258 0.258 0.336
Te 0.432 0.057 0.696
Te 0.568 0.943 0.304
Te 0.742 0.742 0.664
Te 0.943 0.568 0.304

Output
Crystal system   monoclinic
SG   C2/m
DFT total energy   -53.89 eV for the cell shown
M_tot   6.0 μB per formula unit



2.
BaAg2As | GGA-PBE | relaxed

abc: 9.827 9.827 9.827
angles: 148.90 148.90 44.57
Fractional coordinates of all 8 atoms:
Ba 0.000 0.000 0.000
Ba 0.750 0.250 0.500
Ag 0.338 0.625 0.213
Ag 0.375 0.588 0.713
Ag 0.412 0.125 0.787
Ag 0.875 0.662 0.287
As 0.250 0.750 0.500
As 0.500 0.500 0.000

Output
Crystal system   tetragonal
SG   I-42d
DFT total energy   -26.76 eV for the cell shown
ΔH_f (0 K)   -0.277 eV per atom
M_tot   0.0 μB per formula unit



3.
LiZn3In3O8 | GGA-PBE | relaxed

abc: 6.206 6.206 6.206
angles: 60.86 60.86 60.86
Fractional coordinates of all 15 atoms:
Li 0.000 0.000 0.000
Zn 0.000 0.000 0.500
Zn 0.000 0.500 0.000
Zn 0.500 0.000 0.000
In 0.000 0.500 0.500
In 0.500 0.000 0.500
In 0.500 0.500 0.000
O 0.239 0.760 0.760
O 0.240 0.240 0.761
O 0.240 0.761 0.240
O 0.246 0.246 0.246
O 0.754 0.754 0.754
O 0.760 0.239 0.760
O 0.760 0.760 0.239
O 0.761 0.240 0.240

Output
Crystal system   trigonal
SG   R-3m
DFT total energy   -73.52 eV for the cell shown
M_tot   0.0 μB per formula unit



4.
Cs3Li2CaCl6 | GGA-PBE | relaxed

abc: 7.590 7.590 9.168
angles: 90.00 90.00 120.00
Fractional coordinates of all 12 atoms:
Cs 0.000 0.000 0.000
Cs 0.333 0.667 0.657
Cs 0.667 0.333 0.343
Li 0.333 0.667 0.234
Li 0.667 0.333 0.766
Ca 0.000 0.000 0.500
Cl 0.167 0.333 0.319
Cl 0.167 0.833 0.319
Cl 0.333 0.167 0.681
Cl 0.667 0.833 0.319
Cl 0.833 0.167 0.681
Cl 0.833 0.667 0.681

Output
Crystal system   trigonal
SG   P-3m1
DFT total energy   -41.61 eV for the cell shown
M_tot   0.6 μB per formula unit



5.
Mn2ReAs | GGA-PBE | relaxed

abc: 4.476 4.476 4.533
angles: 98.33 98.33 37.40
Fractional coordinates of all 4 atoms:
Mn 0.000 0.000 0.000
Mn 0.747 0.747 0.258
Re 0.261 0.261 0.785
As 0.498 0.498 0.476

Output
Crystal system   monoclinic
SG   Cm
DFT total energy   -34.81 eV for the cell shown
ΔH_f (0 K)   0.156 eV per atom
M_tot   4.0 μB per formula unit



6.
Ce2PuU | GGA-PBE | relaxed

abc: 3.154 3.154 9.694
angles: 90.00 90.00 90.00
Fractional coordinates of all 4 atoms:
Ce 0.000 0.000 0.247
Ce 0.000 0.000 0.753
Pu 0.500 0.500 0.500
U 0.500 0.500 0.000

Output
Crystal system   tetragonal
SG   P4/mmm
DFT total energy   -36.68 eV for the cell shown
ΔH_f (0 K)   0.203 eV per atom
M_tot   3.6 μB per formula unit